Record 1
# PBE SrPmEu2, relaxed
# E_form = 0.07 eV per atom
# Spin magnetization = 15.20 μB/f.u.
# Mass density = 5.2 g/cm3
# Energy above the most stable polymorph in this dataset = 0.0 meV per atom
# Crystal system = tetragonal
data_SrPmEu2
_space_group_name_H-M_alt 'P 4/m m m'
_space_group_IT_number 123
_space_group_name_Hall '-P 4 2'
_cell_length_a 3.893
_cell_length_b 3.893
_cell_length_c 11.212
_cell_angle_alpha 90.00
_cell_angle_beta 90.00
_cell_angle_gamma 90.00
loop_
_atom_site_label
_atom_site_type_symbol
_atom_site_fract_x
_atom_site_fract_y
_atom_site_fract_z
Sr1 Sr 0.000 0.000 0.000
Pm1 Pm 0.000 0.000 0.500
Eu1 Eu 0.500 0.500 0.273



Record 2
# PBE Sr2PmEu, relaxed
# E_form = 0.27 eV per atom
# Spin magnetization = 6.84 μB/f.u.
# Mass density = 4.3 g/cm3
# Energy above the most stable polymorph in this dataset = 136.7 meV per atom
# Crystal system = trigonal
data_Sr2PmEu
_space_group_name_H-M_alt 'R -3 m'
_space_group_IT_number 166
_space_group_name_Hall '-R 3 2"'
_cell_length_a 3.8624
_cell_length_b 3.8624
_cell_length_c 42.1901
_cell_angle_alpha 90.00
_cell_angle_beta 90.00
_cell_angle_gamma 120.00
loop_
_atom_site_label
_atom_site_type_symbol
_atom_site_fract_x
_atom_site_fract_y
_atom_site_fract_z
Sr1 Sr 0.0000 0.0000 0.0861
Pm1 Pm 0.0000 0.0000 0.0000
Eu1 Eu 0.0000 0.0000 0.5000



Record 3
# PBE SrPmEu2, relaxed
# E_form = 0.13 eV per atom
# Spin magnetization = 14.30 μB/f.u.
# Mass density = 5.3 g/cm3
# Energy above the most stable polymorph in this dataset = 61.4 meV per atom
# Crystal system = cubic
data_SrPmEu2
_space_group_name_H-M_alt 'F m -3 m'
_space_group_IT_number 225
_space_group_name_Hall '-F 4 2 3'
_cell_length_a 8.754
_cell_length_b 8.754
_cell_length_c 8.754
_cell_angle_alpha 90.00
_cell_angle_beta 90.00
_cell_angle_gamma 90.00
loop_
_atom_site_label
_atom_site_type_symbol
_atom_site_fract_x
_atom_site_fract_y
_atom_site_fract_z
Sr1 Sr 0.000 0.000 0.000
Pm1 Pm 0.000 0.000 0.500
Eu1 Eu 0.250 0.250 0.250



Going through the records in order, we get electronic total energy values of -6.68; -4.33; -6.62 eV per atom.